The following is a DFT calculation (PBE-GGA) of a relaxed TbTh2N4 crystal.

Results
ΔE_f (raw) = -1.33 eV/atom

a b c (Å): 7.6274 7.6274 7.2400
angles (deg): 90.00 90.00 90.00
With the nearest neighbours (Å) after each atom.
Space group I-42d (No. 122)
Unique sites:
Tb  0.0000  0.0000  0.0000 [4 per cell]  8 N 2.46-2.72
Th  0.1433  0.2500  0.6250 [8 per cell]  6 N 2.40-2.60
N  0.0699  0.1906  0.3083 [16 per cell]  3 Th 2.40-2.60, 1 Tb 2.46